w) Material: Ba3IrI
Method: DFT, GGA-PBE
State: optimized geometry

Mass density   5.729 Mg/m³
Calculated volume   42.4 Å³/atom
SG   Pmmn, No. 59

a b c (Å): 4.8044 7.8196 11.2822
angles (deg): 90.00 90.00 90.00
Positions (direct):
Ba 0.7500 0.4957 0.1347
Ba 0.2500 0.5043 0.8653
Ba 0.7500 0.0043 0.1347
Ba 0.2500 0.9957 0.8653
Ba 0.7500 0.2500 0.6224
Ba 0.2500 0.7500 0.3776
Ir 0.7500 0.2500 0.8991
Ir 0.2500 0.7500 0.1009
I 0.2500 0.2500 0.3647
I 0.7500 0.7500 0.6353

x) Material: Ba3IrI
Method: DFT, GGA-PBE
State: optimized geometry

Mass density   5.212 Mg/m³
Calculated volume   46.6 Å³/atom
SG   Pm-3m, No. 221

a b c (Å): 6.1528 6.1528 6.1528
angles (deg): 90.00 90.00 90.00
Positions (direct):
I 0.5000 0.5000 0.5000
Ir 0.0000 0.0000 0.0000
Ba 0.0000 0.5000 0.0000
Ba 0.0000 0.0000 0.5000
Ba 0.5000 0.0000 0.0000

y) Material: Ba3IrI
Method: DFT, GGA-PBE
State: optimized geometry

Mass density   4.658 Mg/m³
Calculated volume   52.1 Å³/atom
SG   P2_1/m, No. 11

a b c (Å): 4.9328 8.3973 12.6337
angles (deg): 95.07 90.00 90.00
Positions (direct):
Ba 0.7500 0.0512 0.6807
Ba 0.7500 0.5630 0.7308
Ba 0.2500 0.9488 0.3193
Ba 0.2500 0.4370 0.2692
Ba 0.2500 0.7958 0.9894
Ba 0.7500 0.2042 0.0106
Ir 0.2500 0.1386 0.1479
Ir 0.7500 0.8614 0.8521
I 0.2500 0.2650 0.5302
I 0.7500 0.7350 0.4698

Tell me which of them is the least stable. Sure, it is y).

w) Material: Ba4IrI2
Method: DFT, GGA-PBE
State: optimized geometry

Mass density   4.955 Mg/m³
Calculated volume   47.6 Å³/atom
SG   I4/mmm, No. 139

a b c (Å): 6.1951 6.1951 9.7322
angles (deg): 71.44 71.44 90.00
Positions (direct):
I 0.6195 0.6195 0.7610
I 0.3805 0.3805 0.2390
Ir 0.0000 0.0000 0.0000
Ba 0.8242 0.8242 0.3516
Ba 0.1758 0.1758 0.6484
Ba 0.0000 0.5000 0.0000
Ba 0.5000 0.0000 0.0000

x) Material: Ba4IrI2
Method: DFT, GGA-PBE
State: optimized geometry

Mass density   5.164 Mg/m³
Calculated volume   45.7 Å³/atom
SG   C2/m, No. 12

a b c (Å): 4.6551 7.8094 9.8179
angles (deg): 111.95 103.71 90.00
Positions (direct):
I 0.2553 0.2532 0.5106
I 0.7447 0.7468 0.4894
Ir 0.0000 0.0000 0.0000
Ba 0.1040 0.7889 0.2080
Ba 0.8960 0.2111 0.7920
Ba 0.4033 0.7460 0.8067
Ba 0.5967 0.2540 0.1933

Tell me which of them is the least stable. Sure, it is w).

w) Material: BaIrI2
Method: DFT, GGA-PBE
State: optimized geometry

Mass density   6.289 Mg/m³
Calculated volume   38.5 Å³/atom
SG   I-42d, No. 122

a b c (Å): 6.1248 6.1248 9.2838
angles (deg): 70.74 70.74 90.00
Positions (direct):
I 0.7266 0.1250 0.2500
I 0.0234 0.6250 0.2500
I 0.3750 0.2734 0.7500
I 0.8750 0.9766 0.7500
Ir 0.0000 0.0000 0.0000
Ir 0.7500 0.2500 0.5000
Ba 0.5000 0.5000 0.0000
Ba 0.2500 0.7500 0.5000

x) Material: BaIrI2
Method: DFT, GGA-PBE
State: optimized geometry

Mass density   7.650 Mg/m³
Calculated volume   31.7 Å³/atom
SG   Fm-3m, No. 225

a b c (Å): 5.6366 5.6366 5.6366
angles (deg): 60.00 60.00 60.00
Last column: magnetic moment on the atom in μB.
Positions (direct):
I 0.2500 0.2500 0.2500  0.08
I 0.7500 0.7500 0.7500  0.08
Ir 0.5000 0.5000 0.5000  1.29
Ba 0.0000 0.0000 0.0000  0.01

Tell me which of them is the least stable. Sure, it is x).

w) Material: BaIr2I
Method: DFT, GGA-PBE
State: optimized geometry

Mass density   8.961 Mg/m³
Calculated volume   30.1 Å³/atom
SG   I-42d, No. 122

a b c (Å): 5.2966 5.2966 9.3525
angles (deg): 73.55 73.55 90.00
Positions (direct):
I 0.5000 0.5000 0.0000
I 0.2500 0.7500 0.5000
Ir 0.4231 0.1250 0.2500
Ir 0.3269 0.6250 0.2500
Ir 0.3750 0.5769 0.7500
Ir 0.8750 0.6731 0.7500
Ba 0.0000 0.0000 0.0000
Ba 0.7500 0.2500 0.5000

x) Material: BaIr2I
Method: DFT, GGA-PBE
State: optimized geometry

Mass density   11.572 Mg/m³
Calculated volume   23.3 Å³/atom
SG   Fm-3m, No. 225

a b c (Å): 5.0869 5.0869 5.0869
angles (deg): 60.00 60.00 60.00
Last column: magnetic moment on the atom in μB.
Positions (direct):
I 0.0000 0.0000 0.0000  0.06
Ir 0.2500 0.2500 0.2500  0.47
Ir 0.7500 0.7500 0.7500  0.47
Ba 0.5000 0.5000 0.5000  -0.01

Tell me which of them is the least stable. Sure, it is x).

w) Material: Ba3IrI2
Method: DFT, GGA-PBE
State: optimized geometry

Mass density   5.723 Mg/m³
Calculated volume   41.5 Å³/atom
SG   C2/c, No. 15

a b c (Å): 6.7697 9.1768 8.9971
angles (deg): 104.78 112.10 90.00
Positions (direct):
Ba 0.4997 0.2500 0.0000
Ba 0.5003 0.7500 0.0000
Ba 0.1260 0.0631 0.2521
Ba 0.8739 0.4369 0.7479
Ba 0.1261 0.5631 0.2521
Ba 0.8740 0.9369 0.7479
Ir 0.9993 0.7500 0.0000
Ir 0.0007 0.2500 0.0000
I 0.6847 0.5923 0.3693
I 0.6846 0.0923 0.3693
I 0.3154 0.9077 0.6307
I 0.3153 0.4077 0.6307

x) Material: Ba3IrI2
Method: DFT, GGA-PBE
State: optimized geometry

Mass density   5.675 Mg/m³
Calculated volume   41.8 Å³/atom
SG   Fddd, No. 70

a b c (Å): 8.6070 8.6070 15.1112
angles (deg): 101.42 101.42 107.74
Positions (direct):
Ba 0.1580 0.7009 0.8134
Ba 0.6555 0.1126 0.8134
Ba 0.0920 0.0491 0.6866
Ba 0.5945 0.6374 0.6866
Ba 0.0539 0.5539 0.5000
Ba 0.4461 0.9461 0.5000
Ba 0.3626 0.4055 0.3134
Ba 0.9509 0.9080 0.3134
Ba 0.8874 0.3445 0.1866
Ba 0.2991 0.8420 0.1866
Ba 0.1961 0.1961 0.0000
Ba 0.8039 0.8039 0.0000
Ir 0.9159 0.9159 0.8317
Ir 0.3341 0.8341 0.6683
Ir 0.1659 0.6659 0.3317
Ir 0.0841 0.0841 0.1683
I 0.9941 0.4941 0.9882
I 0.4234 0.4234 0.8468
I 0.8266 0.3266 0.6532
I 0.2559 0.2559 0.5118
I 0.7441 0.7441 0.4882
I 0.6734 0.1734 0.3468
I 0.5766 0.5766 0.1532
I 0.5059 0.0059 0.0118

Tell me which of them is the least stable. Sure, it is w).

w) Material: BaIrI2N
Method: DFT, GGA-PBE
State: optimized geometry

Mass density   7.273 Mg/m³
Calculated volume   27.3 Å³/atom
SG   P4/mmm, No. 123

a b c (Å): 5.9829 5.9829 3.8104
angles (deg): 90.00 90.00 90.00
Positions (direct):
I 0.0000 0.5000 0.0000
I 0.5000 0.0000 0.0000
Ir 0.0000 0.0000 0.0000
Ba 0.5000 0.5000 0.5000
N 0.0000 0.0000 0.5000

x) Material: BaIrI2N
Method: DFT, GGA-PBE
State: optimized geometry

Mass density   4.723 Mg/m³
Calculated volume   42.0 Å³/atom
SG   P4/mmm, No. 123

a b c (Å): 6.7278 6.7278 4.6403
angles (deg): 90.00 90.00 90.00
Last column: magnetic moment on the atom in μB.
Positions (direct):
I 0.0000 0.5000 0.0000  0.10
I 0.5000 0.0000 0.0000  0.10
Ir 0.5000 0.5000 0.5000  2.54
Ba 0.0000 0.0000 0.0000  0.00
N 0.0000 0.0000 0.5000  0.00

Tell me which of them is the least stable. Sure, it is x).

w) Material: Ba2PIrI
Method: DFT, GGA-PBE
State: optimized geometry

Mass density   5.990 Mg/m³
Calculated volume   34.6 Å³/atom
SG   P4/mmm, No. 123

a b c (Å): 6.2947 6.2947 4.3712
angles (deg): 90.00 90.00 90.00
Positions (direct):
I 0.5000 0.5000 0.5000
P 0.0000 0.0000 0.0000
Ir 0.0000 0.0000 0.5000
Ba 0.0000 0.5000 0.0000
Ba 0.5000 0.0000 0.0000

x) Material: Ba2PIrI
Method: DFT, GGA-PBE
State: optimized geometry

Mass density   5.921 Mg/m³
Calculated volume   35.0 Å³/atom
SG   P4/mmm, No. 123

a b c (Å): 6.2682 6.2682 4.4597
angles (deg): 90.00 90.00 90.00
Positions (direct):
I 0.5000 0.5000 0.5000
P 0.0000 0.0000 0.5000
Ir 0.0000 0.0000 0.0000
Ba 0.0000 0.5000 0.0000
Ba 0.5000 0.0000 0.0000

Tell me which of them is the least stable. Sure, it is w).

w) Material: RbBa2IrI
Method: DFT, GGA-PBE
State: optimized geometry

Mass density   5.002 Mg/m³
Calculated volume   45.1 Å³/atom
SG   P4/mmm, No. 123

a b c (Å): 6.0634 6.1339 6.0634
angles (deg): 90.00 90.00 90.00
Positions (direct):
I 0.0000 0.5000 0.0000
Ir 0.0000 0.0000 0.0000
Ba 0.0000 0.0000 0.5000
Ba 0.5000 0.0000 0.0000
Rb 0.5000 0.5000 0.5000

x) Material: RbBa2IrI
Method: DFT, GGA-PBE
State: optimized geometry

Mass density   4.763 Mg/m³
Calculated volume   47.4 Å³/atom
SG   P4/mmm, No. 123

a b c (Å): 5.9609 6.6649 5.9609
angles (deg): 90.00 90.00 90.00
Last column: magnetic moment on the atom in μB.
Positions (direct):
I 0.5000 0.5000 0.5000  0.01
Ir 0.0000 0.0000 0.0000  -0.01
Ba 0.0000 0.0000 0.5000  0.06
Ba 0.5000 0.0000 0.0000  0.07
Rb 0.0000 0.5000 0.0000  0.00

Tell me which of them is the least stable. Sure, it is w).